1.
# ScCr3N

A relaxed structure of ScCr3N (GGA-PBE, Alexandria).

Excess energy over the best structure of this formula in the dataset   308.7 kJ/mol of atoms
E_tot   -28.304 eV per cell
Size of the total moment   0.00 Bohr magnetons per cell
Calculated volume   78.7 Å³ per cell
E_form (uncorrected)   3.04 eV per atom

Cell lengths 4.2857, 4.2857, 4.2857 Å; angles 90.00, 90.00, 90.00 degrees
Sites, in units of the cell vectors:
Sc1 0.0000 0.0000 0.0000
Cr1 0.0000 0.0000 0.5000
Cr2 0.0000 0.5000 0.0000
Cr3 0.5000 0.0000 0.0000
N1 0.5000 0.5000 0.5000

2.
# Sr2Li9Cd6

A relaxed structure of Sr2Li9Cd6 (GGA-PBE, Alexandria).

E_tot   -28.354 eV per cell
Size of the total moment   0.00 Bohr magnetons per cell
Calculated volume   429.4 Å³ per cell
Energy relative to the elements   -0.13 eV per atom

Cell lengths 5.8993, 5.8993, 14.2472 Å; angles 90.00, 90.00, 120.00 degrees
Sites, in units of the cell vectors:
Sr1 0.0000 0.0000 0.1672
Sr2 0.0000 0.0000 0.8328
Li1 0.0000 0.5000 0.0000
Li2 0.0000 0.5000 0.3337
Li3 0.0000 0.5000 0.6663
Li4 0.5000 0.0000 0.0000
Li5 0.5000 0.0000 0.3337
Li6 0.5000 0.0000 0.6663
Li7 0.5000 0.5000 0.0000
Li8 0.5000 0.5000 0.3337
Li9 0.5000 0.5000 0.6663
Cd1 0.3333 0.6667 0.1673
Cd2 0.3333 0.6667 0.5000
Cd3 0.3333 0.6667 0.8327
Cd4 0.6667 0.3333 0.1673
Cd5 0.6667 0.3333 0.5000
Cd6 0.6667 0.3333 0.8327

3.
# TiBr2Cl2

A relaxed structure of TiBr2Cl2 (GGA-PBE, Alexandria).

Excess energy over the best structure of this formula in the dataset   0.0 kJ/mol of atoms
E_tot   -33.540 eV per cell
Size of the total moment   4.09 Bohr magnetons per cell
Calculated volume   360.1 Å³ per cell
E_form (uncorrected)   -0.37 eV per atom

Cell lengths 6.9757, 6.9757, 7.3996 Å; angles 90.00, 90.00, 90.00 degrees
Sites, in units of the cell vectors:
Ti1 0.0000 0.0000 0.0000
Ti2 0.5000 0.5000 0.0000
Br1 0.1838 0.3162 0.0000
Br2 0.3162 0.8162 0.0000
Br3 0.6838 0.1838 0.0000
Br4 0.8162 0.6838 0.0000
Cl1 0.1051 0.6051 0.5000
Cl2 0.3949 0.1051 0.5000
Cl3 0.6051 0.8949 0.5000
Cl4 0.8949 0.3949 0.5000

4.
# AlAgBr2

A relaxed structure of AlAgBr2 (GGA-PBE, Alexandria).

Excess energy over the best structure of this formula in the dataset   39.1 kJ/mol of atoms
E_tot   -10.248 eV per cell
Size of the total moment   0.00 Bohr magnetons per cell
Calculated volume   99.4 Å³ per cell
E_form (uncorrected)   -0.08 eV per atom

Cell lengths 5.1992, 5.1992, 5.1992 Å; angles 60.00, 60.00, 60.00 degrees
Sites, in units of the cell vectors:
Al1 0.0000 0.0000 0.0000
Ag1 0.5000 0.5000 0.5000
Br1 0.2500 0.2500 0.2500
Br2 0.7500 0.7500 0.7500

5.
# ThScRe4

A relaxed structure of ThScRe4 (GGA-PBE, Alexandria).

E_tot   -64.169 eV per cell
Size of the total moment   0.00 Bohr magnetons per cell
Calculated volume   113.2 Å³ per cell
Energy relative to the elements   -0.10 eV per atom

Cell lengths 5.4306, 5.4306, 5.4306 Å; angles 60.00, 60.00, 60.00 degrees
Sites, in units of the cell vectors:
Th1 0.0000 0.0000 0.0000
Sc1 0.2500 0.2500 0.2500
Re1 0.1264 0.6245 0.6245
Re2 0.6245 0.1264 0.6245
Re3 0.6245 0.6245 0.1264
Re4 0.6245 0.6245 0.6245

6.
# Be2TlN

A relaxed structure of Be2TlN (GGA-PBE, Alexandria).

Excess energy over the best structure of this formula in the dataset   0.0 kJ/mol of atoms
E_tot   -38.084 eV per cell
Size of the total moment   0.00 Bohr magnetons per cell
Calculated volume   105.6 Å³ per cell
E_form (uncorrected)   -0.22 eV per atom

Cell lengths 5.3114, 5.3114, 5.3114 Å; angles 120.22, 120.22, 89.61 degrees
Sites, in units of the cell vectors:
Be1 0.3750 0.0647 0.1897
Be2 0.8147 0.6250 0.6897
Be3 0.8750 0.1853 0.8103
Be4 0.9353 0.1250 0.3103
Tl1 0.2500 0.7500 0.5000
Tl2 0.5000 0.5000 0.0000
N1 0.0000 0.0000 0.0000
N2 0.7500 0.2500 0.5000

7.
# TaAlZn2

A relaxed structure of TaAlZn2 (GGA-PBE, Alexandria).

E_tot   -17.852 eV per cell
Size of the total moment   0.00 Bohr magnetons per cell
Calculated volume   65.6 Å³ per cell
Energy relative to the elements   0.07 eV per atom

Cell lengths 9.2630, 9.2630, 9.2630 Å; angles 17.90, 17.90, 17.90 degrees
Sites, in units of the cell vectors:
Ta1 0.0000 0.0000 0.0000
Al1 0.5000 0.5000 0.5000
Zn1 0.2475 0.2475 0.2475
Zn2 0.7525 0.7525 0.7525

8.
# Na3Mn2SnS6

A relaxed structure of Na3Mn2SnS6 (GGA-PBE, Alexandria).

E_tot   -60.389 eV per cell
Size of the total moment   8.99 Bohr magnetons per cell
Calculated volume   238.9 Å³ per cell
E_form (uncorrected)   -0.78 eV per atom

Cell lengths 6.4422, 6.4422, 6.9883 Å; angles 98.85, 98.85, 120.02 degrees
Sites, in units of the cell vectors:
Na1 0.0000 0.0000 0.0000
Na2 0.3347 0.6653 0.0000
Na3 0.6653 0.3347 0.0000
Mn1 0.1668 0.8332 0.5000
Mn2 0.8332 0.1668 0.5000
Sn1 0.5000 0.5000 0.5000
S1 0.0927 0.4298 0.2900
S2 0.2328 0.2328 0.7094
S3 0.4298 0.0927 0.2900
S4 0.5702 0.9073 0.7100
S5 0.7672 0.7672 0.2906
S6 0.9073 0.5702 0.7100

9.
# Be2Ga2Br

A relaxed structure of Be2Ga2Br (GGA-PBE, Alexandria).

Excess energy over the best structure of this formula in the dataset   0.0 kJ/mol of atoms
E_tot   -13.361 eV per cell
Size of the total moment   0.00 Bohr magnetons per cell
Calculated volume   86.4 Å³ per cell
E_form (uncorrected)   0.36 eV per atom

Cell lengths 8.0700, 8.0700, 8.0700 Å; angles 156.06, 156.06, 34.11 degrees
Sites, in units of the cell vectors:
Be1 0.2500 0.7500 0.5000
Be2 0.7500 0.2500 0.5000
Ga1 0.1302 0.1302 0.0000
Ga2 0.8698 0.8698 0.0000
Br1 0.5000 0.5000 0.0000

10.
# Ca2ScGa3Au12

A relaxed structure of Ca2ScGa3Au12 (GGA-PBE, Alexandria).

E_tot   -63.792 eV per cell
Size of the total moment   0.00 Bohr magnetons per cell
Calculated volume   401.8 Å³ per cell
Energy relative to the elements   -0.28 eV per atom

Cell lengths 11.4530, 11.4530, 11.4530 Å; angles 33.24, 33.24, 33.24 degrees
Sites, in units of the cell vectors:
Ca1 0.1385 0.1385 0.1385
Ca2 0.8615 0.8615 0.8615
Sc1 0.5000 0.5000 0.5000
Ga1 0.0000 0.5000 0.5000
Ga2 0.5000 0.0000 0.5000
Ga3 0.5000 0.5000 0.0000
Au1 0.0805 0.6294 0.6294
Au2 0.0940 0.0940 0.6658
Au3 0.0940 0.6658 0.0940
Au4 0.3342 0.9060 0.9060
Au5 0.3706 0.3706 0.9195
Au6 0.3706 0.9195 0.3706
Au7 0.6294 0.0805 0.6294
Au8 0.6294 0.6294 0.0805
Au9 0.6658 0.0940 0.0940
Au10 0.9060 0.3342 0.9060
Au11 0.9060 0.9060 0.3342
Au12 0.9195 0.3706 0.3706

11.
# LaTmPu

A relaxed structure of LaTmPu (GGA-PBE, Alexandria).

Excess energy over the best structure of this formula in the dataset   1.6 kJ/mol of atoms
E_tot   -23.311 eV per cell
Size of the total moment   6.23 Bohr magnetons per cell
Calculated volume   94.2 Å³ per cell
Energy relative to the elements   0.14 eV per atom

Cell lengths 3.5585, 3.5585, 8.5904 Å; angles 90.00, 90.00, 120.00 degrees
Sites, in units of the cell vectors:
La1 0.0000 0.0000 0.0000
Tm1 0.3333 0.6667 0.6540
Pu1 0.6667 0.3333 0.3336

12.
# Mg2ZnO

A relaxed structure of Mg2ZnO (GGA-PBE, Alexandria).

Excess energy over the best structure of this formula in the dataset   81.0 kJ/mol of atoms
E_tot   -10.394 eV per cell
Size of the total moment   0.00 Bohr magnetons per cell
Calculated volume   62.9 Å³ per cell
E_form (uncorrected)   -0.24 eV per atom

Cell lengths 4.4639, 4.4639, 4.4639 Å; angles 60.00, 60.00, 60.00 degrees
Sites, in units of the cell vectors:
Mg1 0.2500 0.2500 0.2500
Mg2 0.7500 0.7500 0.7500
Zn1 0.0000 0.0000 0.0000
O1 0.5000 0.5000 0.5000

13.
# Ca2TmCd3

A relaxed structure of Ca2TmCd3 (GGA-PBE, Alexandria).

Excess energy over the best structure of this formula in the dataset   0.2 kJ/mol of atoms
E_tot   -13.257 eV per cell
Size of the total moment   0.00 Bohr magnetons per cell
Calculated volume   161.9 Å³ per cell
Energy relative to the elements   -0.34 eV per atom

Cell lengths 5.3409, 5.3409, 6.5543 Å; angles 90.00, 90.00, 120.00 degrees
Sites, in units of the cell vectors:
Ca1 0.3333 0.6667 0.1676
Ca2 0.6667 0.3333 0.8324
Tm1 0.0000 0.0000 0.5000
Cd1 0.0000 0.0000 0.0000
Cd2 0.3333 0.6667 0.6576
Cd3 0.6667 0.3333 0.3424

14.
# TiBPdBr2

A relaxed structure of TiBPdBr2 (GGA-PBE, Alexandria).

E_tot   -19.268 eV per cell
Size of the total moment   0.00 Bohr magnetons per cell
Calculated volume   93.7 Å³ per cell
E_form (uncorrected)   0.77 eV per atom

Cell lengths 4.6146, 4.6146, 4.4024 Å; angles 90.00, 90.00, 90.00 degrees
Sites, in units of the cell vectors:
Ti1 0.0000 0.0000 0.0000
B1 0.0000 0.0000 0.5000
Pd1 0.5000 0.5000 0.0000
Br1 0.0000 0.5000 0.5000
Br2 0.5000 0.0000 0.5000

15.
# TbNdSmY3

A relaxed structure of TbNdSmY3 (GGA-PBE, Alexandria).

E_tot   -66.787 eV per cell
Size of the total moment   0.00 Bohr magnetons per cell
Calculated volume   395.3 Å³ per cell
Energy relative to the elements   0.02 eV per atom

Cell lengths 8.0468, 8.0468, 10.1743 Å; angles 90.00, 90.00, 143.13 degrees
Sites, in units of the cell vectors:
Tb1 0.1670 0.8330 0.7500
Tb2 0.8330 0.1670 0.2500
Nd1 0.0000 0.0000 0.0000
Nd2 0.0000 0.0000 0.5000
Sm1 0.4993 0.5007 0.2500
Sm2 0.5007 0.4993 0.7500
Y1 0.1674 0.8326 0.2500
Y2 0.3326 0.6674 0.0001
Y3 0.3326 0.6674 0.4999
Y4 0.6674 0.3326 0.9999
Y5 0.6674 0.3326 0.5001
Y6 0.8326 0.1674 0.7500

16.
# Sm3Er2UN6

A relaxed structure of Sm3Er2UN6 (GGA-PBE, Alexandria).

E_tot   -103.801 eV per cell
Size of the total moment   0.52 Bohr magnetons per cell
Calculated volume   181.2 Å³ per cell
E_form (uncorrected)   -1.61 eV per atom

Cell lengths 6.0319, 6.0319, 6.0882 Å; angles 99.50, 99.50, 119.95 degrees
Sites, in units of the cell vectors:
Sm1 0.0000 0.0000 0.0000
Sm2 0.3318 0.6682 0.0000
Sm3 0.6682 0.3318 0.0000
Er1 0.1662 0.8338 0.5000
Er2 0.8338 0.1662 0.5000
U1 0.5000 0.5000 0.5000
N1 0.1093 0.4245 0.2736
N2 0.2602 0.2602 0.7263
N3 0.4245 0.1093 0.2736
N4 0.5755 0.8907 0.7264
N5 0.7398 0.7398 0.2737
N6 0.8907 0.5755 0.7264

17.
# Mn2Te4Pd

A relaxed structure of Mn2Te4Pd (GGA-PBE, Alexandria).

E_tot   -75.544 eV per cell
Size of the total moment   12.35 Bohr magnetons per cell
Calculated volume   359.2 Å³ per cell
E_form (uncorrected)   -0.24 eV per atom

Cell lengths 7.9733, 7.9733, 7.9858 Å; angles 119.99, 119.99, 60.06 degrees
Sites, in units of the cell vectors:
Mn1 0.0000 0.0000 0.0000
Mn2 0.0000 0.0000 0.5000
Mn3 0.0000 0.5000 0.0000
Mn4 0.5000 0.0000 0.0000
Te1 0.2220 0.7597 0.2410
Te2 0.2403 0.7780 0.7590
Te3 0.2407 0.2407 0.2218
Te4 0.2406 0.2406 0.7593
Te5 0.7594 0.7594 0.2407
Te6 0.7593 0.7593 0.7782
Te7 0.7597 0.2220 0.2410
Te8 0.7780 0.2403 0.7590
Pd1 0.3750 0.3750 0.6247
Pd2 0.6250 0.6250 0.3753

18.
# RbSn3Au3

A relaxed structure of RbSn3Au3 (GGA-PBE, Alexandria).

Excess energy over the best structure of this formula in the dataset   3.3 kJ/mol of atoms
E_tot   -47.252 eV per cell
Size of the total moment   0.00 Bohr magnetons per cell
Calculated volume   432.8 Å³ per cell
Energy relative to the elements   -0.12 eV per atom

Cell lengths 7.6703, 7.6703, 7.6703 Å; angles 79.99, 79.99, 79.99 degrees
Sites, in units of the cell vectors:
Rb1 0.1619 0.1619 0.1619
Rb2 0.8381 0.8381 0.8381
Sn1 0.1275 0.3423 0.6408
Sn2 0.3423 0.6408 0.1275
Sn3 0.3592 0.8725 0.6577
Sn4 0.6408 0.1275 0.3423
Sn5 0.6577 0.3592 0.8725
Sn6 0.8725 0.6577 0.3592
Au1 0.1791 0.6941 0.4736
Au2 0.3059 0.5264 0.8209
Au3 0.4736 0.1791 0.6941
Au4 0.5264 0.8209 0.3059
Au5 0.6941 0.4736 0.1791
Au6 0.8209 0.3059 0.5264

19.
# VSb2W

A relaxed structure of VSb2W (GGA-PBE, Alexandria).

Excess energy over the best structure of this formula in the dataset   25.6 kJ/mol of atoms
E_tot   -27.751 eV per cell
Size of the total moment   0.16 Bohr magnetons per cell
Calculated volume   79.6 Å³ per cell
E_form (uncorrected)   0.64 eV per atom

Cell lengths 9.7752, 9.7752, 9.7752 Å; angles 18.20, 18.20, 18.20 degrees
Sites, in units of the cell vectors:
V1 0.0000 0.0000 0.0000
Sb1 0.4041 0.4041 0.4041
Sb2 0.5959 0.5959 0.5959
W1 0.5000 0.5000 0.5000

20.
# YCoB

A relaxed structure of YCoB (GGA-PBE, Alexandria).

Excess energy over the best structure of this formula in the dataset   18.0 kJ/mol of atoms
E_tot   -42.327 eV per cell
Size of the total moment   0.00 Bohr magnetons per cell
Calculated volume   94.0 Å³ per cell
Energy relative to the elements   -0.31 eV per atom

Cell lengths 5.3066, 5.3066, 5.2722 Å; angles 104.59, 104.59, 41.12 degrees
Sites, in units of the cell vectors:
Y1 0.1053 0.1053 0.3167
Y2 0.8947 0.8947 0.6833
Co1 0.2005 0.2005 0.8592
Co2 0.7995 0.7995 0.1408
B1 0.3554 0.3554 0.2102
B2 0.6446 0.6446 0.7898

21.
# Pr5Y4In

A relaxed structure of Pr5Y4In (GGA-PBE, Alexandria).

Excess energy over the best structure of this formula in the dataset   0.0 kJ/mol of atoms
E_tot   -52.248 eV per cell
Size of the total moment   0.00 Bohr magnetons per cell
Calculated volume   344.4 Å³ per cell
Energy relative to the elements   0.02 eV per atom

Cell lengths 9.4515, 9.4515, 11.0407 Å; angles 111.35, 111.35, 22.09 degrees
Sites, in units of the cell vectors:
Pr1 0.0000 0.0000 0.0000
Pr2 0.3268 0.3268 0.8201
Pr3 0.3334 0.3334 0.4195
Pr4 0.6666 0.6666 0.5805
Pr5 0.6732 0.6732 0.1799
Y1 0.1613 0.1613 0.8831
Y2 0.4857 0.4857 0.7217
Y3 0.5143 0.5143 0.2783
Y4 0.8387 0.8387 0.1169
In1 0.0000 0.0000 0.5000

22.
# AcTbSm

A relaxed structure of AcTbSm (GGA-PBE, Alexandria).

Excess energy over the best structure of this formula in the dataset   7.2 kJ/mol of atoms
E_tot   -13.088 eV per cell
Size of the total moment   0.00 Bohr magnetons per cell
Calculated volume   109.6 Å³ per cell
Energy relative to the elements   0.12 eV per atom

Cell lengths 5.9148, 5.9148, 3.6184 Å; angles 90.00, 90.00, 120.00 degrees
Sites, in units of the cell vectors:
Ac1 0.0000 0.0000 0.0000
Tb1 0.3333 0.6667 0.0022
Sm1 0.6667 0.3333 0.5010

23.
# YPaAgPt

A relaxed structure of YPaAgPt (GGA-PBE, Alexandria).

E_tot   -26.466 eV per cell
Size of the total moment   1.13 Bohr magnetons per cell
Calculated volume   91.1 Å³ per cell
Energy relative to the elements   -0.40 eV per atom

Cell lengths 5.0501, 5.0501, 5.0501 Å; angles 60.00, 60.00, 60.00 degrees
Sites, in units of the cell vectors:
Y1 0.0000 0.0000 0.0000
Pa1 0.5000 0.5000 0.5000
Ag1 0.7500 0.7500 0.7500
Pt1 0.2500 0.2500 0.2500

24.
# AcCdSnPt

A relaxed structure of AcCdSnPt (GGA-PBE, Alexandria).

E_tot   -17.161 eV per cell
Size of the total moment   0.00 Bohr magnetons per cell
Calculated volume   100.9 Å³ per cell
Energy relative to the elements   -0.52 eV per atom

Cell lengths 5.2263, 5.2263, 5.2263 Å; angles 60.00, 60.00, 60.00 degrees
Sites, in units of the cell vectors:
Ac1 0.0000 0.0000 0.0000
Cd1 0.7500 0.7500 0.7500
Sn1 0.5000 0.5000 0.5000
Pt1 0.2500 0.2500 0.2500